[1]
VASP calculation (PBE) on an optimized crystal structure of NaTe2IBr.

```
data_NaTe2IBr
_chemical_formula_sum 'Na1 Te2 I1 Br1'
_space_group_name_H-M_alt 'P 1'
_space_group_IT_number 1
_cell_length_a 5.498
_cell_length_b 5.498
_cell_length_c 8.135
_cell_angle_alpha 90.00
_cell_angle_beta 90.00
_cell_angle_gamma 90.00
loop_
_space_group_symop_operation_xyz
'x,y,z'
loop_
_atom_site_label
_atom_site_type_symbol
_atom_site_fract_x
_atom_site_fract_y
_atom_site_fract_z
Te1 Te 0.000 0.500 0.000
Te2 Te 0.500 0.000 0.000
Na1 Na 0.500 0.500 0.500
I1 I 0.000 0.000 0.500
Br1 Br 0.000 0.000 0.000
```

- total DFT energy (no corrections) (eV per formula unit) = -10.042
- space-group type = No. 123
- energy above the lowest structure with this stoichiometry (kcal/mol of atoms) = 0.000
- total moment (μB/atom) = 0.32
- energy relative to the elements, uncorrected (eV per atom) = 0.16

[2]
VASP calculation (PBE) on an optimized crystal structure of SmMgPb2.

```
data_SmMgPb2
_chemical_formula_sum 'Sm1 Mg1 Pb2'
_space_group_name_H-M_alt 'P 1'
_space_group_IT_number 1
_cell_length_a 5.023
_cell_length_b 5.023
_cell_length_c 5.962
_cell_angle_alpha 65.09
_cell_angle_beta 65.09
_cell_angle_gamma 60.00
loop_
_space_group_symop_operation_xyz
'x,y,z'
loop_
_atom_site_label
_atom_site_type_symbol
_atom_site_fract_x
_atom_site_fract_y
_atom_site_fract_z
Mg1 Mg 0.500 0.500 0.500
Pb1 Pb 0.241 0.241 0.278
Pb2 Pb 0.759 0.759 0.722
Sm1 Sm 0.000 0.000 0.000
```

- total DFT energy (no corrections) (eV per formula unit) = -14.690
- space-group type = No. 166
- total moment (μB/atom) = 0.00
- calculated formation energy (eV per atom) = -0.240

[3]
VASP calculation (PBE) on an optimized crystal structure of Li12Zn6Pd.

```
data_Li12Zn6Pd
_chemical_formula_sum 'Li12 Zn6 Pd1'
_space_group_name_H-M_alt 'P 1'
_space_group_IT_number 1
_cell_length_a 6.809
_cell_length_b 6.809
_cell_length_c 6.809
_cell_angle_alpha 88.94
_cell_angle_beta 88.94
_cell_angle_gamma 88.94
loop_
_space_group_symop_operation_xyz
'x,y,z'
loop_
_atom_site_label
_atom_site_type_symbol
_atom_site_fract_x
_atom_site_fract_y
_atom_site_fract_z
Zn1 Zn 0.110 0.734 0.261
Zn2 Zn 0.266 0.739 0.890
Zn3 Zn 0.739 0.890 0.266
Zn4 Zn 0.734 0.261 0.110
Zn5 Zn 0.261 0.110 0.734
Zn6 Zn 0.890 0.266 0.739
Li1 Li 0.150 0.373 0.034
Li2 Li 0.034 0.150 0.373
Li3 Li 0.806 0.524 0.431
Li4 Li 0.431 0.806 0.524
Li5 Li 0.524 0.431 0.806
Li6 Li 0.373 0.034 0.150
Li7 Li 0.627 0.966 0.850
Li8 Li 0.966 0.850 0.627
Li9 Li 0.476 0.569 0.194
Li10 Li 0.194 0.476 0.569
Li11 Li 0.850 0.627 0.966
Li12 Li 0.569 0.194 0.476
Pd1 Pd 0.000 0.000 0.000
```

- total DFT energy (no corrections) (eV per formula unit) = -39.191
- space-group type = No. 148
- energy above the lowest structure with this stoichiometry (kcal/mol of atoms) = 0.000
- total moment (μB/atom) = 0.00
- calculated formation energy (eV per atom) = -0.178

[4]
VASP calculation (PBE) on an optimized crystal structure of ZnCo4S8.

```
data_ZnCo4S8
_chemical_formula_sum 'Zn1 Co4 S8'
_space_group_name_H-M_alt 'P 1'
_space_group_IT_number 1
_cell_length_a 6.756
_cell_length_b 6.756
_cell_length_c 6.756
_cell_angle_alpha 60.00
_cell_angle_beta 60.00
_cell_angle_gamma 60.00
loop_
_space_group_symop_operation_xyz
'x,y,z'
loop_
_atom_site_label
_atom_site_type_symbol
_atom_site_fract_x
_atom_site_fract_y
_atom_site_fract_z
S1 S 0.140 0.140 0.581
S2 S 0.140 0.581 0.140
S3 S 0.610 0.610 0.169
S4 S 0.581 0.140 0.140
S5 S 0.140 0.140 0.140
S6 S 0.610 0.169 0.610
S7 S 0.610 0.610 0.610
S8 S 0.169 0.610 0.610
Co1 Co 0.883 0.372 0.372
Co2 Co 0.372 0.372 0.883
Co3 Co 0.372 0.372 0.372
Co4 Co 0.372 0.883 0.372
Zn1 Zn 0.750 0.750 0.750
```

- total DFT energy (no corrections) (eV per formula unit) = -67.701
- space-group type = No. 216
- energy above the lowest structure with this stoichiometry (kcal/mol of atoms) = 0.000
- total moment (μB/atom) = 0.00
- energy relative to the elements, uncorrected (eV per atom) = -0.38

Question: What is the total moment in the third record?
Answer: 0.00 μB/atom

Question: Which formula does entry 1 have?
Answer: NaTe2IBr

Question: The lowest total DFT energy (no corrections) belongs to which entry?
Answer: ZnCo4S8